Material: In2GaNiCl
Method: DFT, PBE
State: relaxed

CIF file:
```
data_In2GaNiCl
_chemical_formula_sum 'In2 Ga1 Ni1 Cl1'
_symmetry_space_group_name_H-M 'P 1'
_symmetry_Int_Tables_number 1
_cell_length_a 5.032
_cell_length_b 5.032
_cell_length_c 4.599
_cell_angle_alpha 90.00
_cell_angle_beta 90.00
_cell_angle_gamma 90.00
loop_
_symmetry_equiv_pos_as_xyz
'x,y,z'
loop_
_atom_site_label
_atom_site_type_symbol
_atom_site_fract_x
_atom_site_fract_y
_atom_site_fract_z
Ni1 Ni 0.000 0.000 0.000
In1 In 0.000 0.500 0.000
In2 In 0.500 0.000 0.000
Ga1 Ga 0.000 0.000 0.500
Cl1 Cl 0.500 0.500 0.500
```

Results
SG: P4/mmm
Theoretical density in Mg/m³: 5.6
Formation energy (no corrections) in eV/atom: -0.400
E_tot in hartree per atom: -0.1333

***

Material: ScAgGe3
Method: DFT, PBE
State: relaxed

CIF file:
```
data_ScAgGe3
_chemical_formula_sum 'Sc1 Ag1 Ge3'
_symmetry_space_group_name_H-M 'P 1'
_symmetry_Int_Tables_number 1
_cell_length_a 5.129
_cell_length_b 5.129
_cell_length_c 5.129
_cell_angle_alpha 90.00
_cell_angle_beta 90.00
_cell_angle_gamma 90.00
loop_
_symmetry_equiv_pos_as_xyz
'x,y,z'
loop_
_atom_site_label
_atom_site_type_symbol
_atom_site_fract_x
_atom_site_fract_y
_atom_site_fract_z
Ag1 Ag 0.500 0.500 0.500
Ge1 Ge 0.500 0.000 0.000
Ge2 Ge 0.000 0.500 0.000
Ge3 Ge 0.000 0.000 0.500
Sc1 Sc 0.000 0.000 0.000
```

Results
SG: Pm-3m
Distance to the lowest polymorph of the same formula in eV/atom: 0.0602
Energy relative to the elements in meV/atom: 623
Theoretical density in Mg/m³: 4.6
E_tot in hartree per atom: -0.1464

***

Material: CsBaBeS2
Method: DFT, PBE
State: relaxed

CIF file:
```
data_CsBaBeS2
_chemical_formula_sum 'Cs2 Ba2 Be2 S4'
_symmetry_space_group_name_H-M 'P 1'
_symmetry_Int_Tables_number 1
_cell_length_a 4.950
_cell_length_b 8.000
_cell_length_c 9.325
_cell_angle_alpha 102.84
_cell_angle_beta 90.00
_cell_angle_gamma 90.00
loop_
_symmetry_equiv_pos_as_xyz
'x,y,z'
loop_
_atom_site_label
_atom_site_type_symbol
_atom_site_fract_x
_atom_site_fract_y
_atom_site_fract_z
S1 S 0.219 0.795 0.467
S2 S 0.781 0.795 0.967
S3 S 0.219 0.205 0.033
S4 S 0.781 0.205 0.533
Ba1 Ba 0.519 0.000 0.750
Ba2 Ba 0.481 0.000 0.250
Be1 Be 0.000 0.000 0.000
Be2 Be 0.000 0.000 0.500
Cs1 Cs 0.226 0.500 0.750
Cs2 Cs 0.774 0.500 0.250
```

Results
SG: P2/c
Theoretical density in Mg/m³: 3.2
Formation energy (no corrections) in eV/atom: -1.006
E_tot in hartree per atom: -0.1454